# Co2PbF | the Alexandria database | PBE with a Hubbard U | optimized geometry
# energy above the most stable polymorph in this dataset = 0 meV per atom
# total energy = -61.200 eV/cell
data_Co2PbF
_chemical_formula_sum 'Co8 Pb4 F4'
_space_group_name_H-M_alt 'I 41/a m d'
_space_group_IT_number 141
_cell_length_a 4.7211
_cell_length_b 4.7211
_cell_length_c 13.5631
_cell_angle_alpha 90.00
_cell_angle_beta 90.00
_cell_angle_gamma 90.00
loop_
_space_group_symop_operation_xyz
'x,y,z'
'-x,-y,-z'
'-y+1/4,x+3/4,z+1/4'
'y+1/4,-x+3/4,-z+1/4'
'-x+1/2,-y,z+1/2'
'x+1/2,y,-z+1/2'
'y+1/4,-x+1/4,z+3/4'
'-y+1/4,x+1/4,-z+3/4'
'x,-y,-z'
'-x,y,z'
'-y+1/4,-x+1/4,-z+3/4'
'y+1/4,x+1/4,z+3/4'
'-x+1/2,y,-z+1/2'
'x+1/2,-y,z+1/2'
'y+1/4,x+3/4,-z+1/4'
'-y+1/4,-x+3/4,z+1/4'
'x+1/2,y+1/2,z+1/2'
'-x+1/2,-y+1/2,-z+1/2'
'-y+3/4,x+1/4,z+3/4'
'y+3/4,-x+1/4,-z+3/4'
'-x,-y+1/2,z'
'x,y+1/2,-z'
'y+3/4,-x+3/4,z+1/4'
'-y+3/4,x+3/4,-z+1/4'
'x+1/2,-y+1/2,-z+1/2'
'-x+1/2,y+1/2,z+1/2'
'-y+3/4,-x+3/4,-z+1/4'
'y+3/4,x+3/4,z+1/4'
'-x,y+1/2,-z'
'x,-y+1/2,z'
'y+3/4,x+1/4,-z+3/4'
'-y+3/4,-x+1/4,z+3/4'
loop_
_atom_site_label
_atom_site_fract_x
_atom_site_fract_y
_atom_site_fract_z
Co1 0.0000 0.0000 0.0000
Pb1 0.0000 0.2500 0.3750
F1 0.0000 0.2500 0.8750